1.
# PBE-GGA PmB4Rh6, relaxed
data_PmB4Rh6
_chemical_formula_sum 'Pm2 B8 Rh12'
_space_group_name_H-M_alt 'I -4 2 m'
_space_group_IT_number 121
_space_group_name_Hall 'I -4 2'
_cell_length_a 5.7432
_cell_length_b 5.7432
_cell_length_c 8.2838
_cell_angle_alpha 90.00
_cell_angle_beta 90.00
_cell_angle_gamma 90.00
loop_
_atom_site_label
_atom_site_type_symbol
_atom_site_fract_x
_atom_site_fract_y
_atom_site_fract_z
Pm1 Pm 0.0000 0.0000 0.0000
B1 B 0.1465 0.1465 0.4270
Rh1 Rh 0.0000 0.5000 0.0000
Rh2 Rh 0.1838 0.1838 0.7092
# N(E_F) = 12.9 states/eV/cell
# electronic total energy = -7.180 eV/atom



2.
# PBE-GGA PmB6Rh6, relaxed
data_PmB6Rh6
_chemical_formula_sum 'Pm2 B12 Rh12'
_space_group_name_H-M_alt 'I m m m'
_space_group_IT_number 71
_space_group_name_Hall '-I 2 2'
_cell_length_a 4.8179
_cell_length_b 7.5266
_cell_length_c 8.0810
_cell_angle_alpha 90.00
_cell_angle_beta 90.00
_cell_angle_gamma 90.00
loop_
_atom_site_label
_atom_site_type_symbol
_atom_site_fract_x
_atom_site_fract_y
_atom_site_fract_z
Pm1 Pm 0.0000 0.0000 0.0000
B1 B 0.0000 0.2566 0.5000
B2 B 0.2500 0.2500 0.2500
Rh1 Rh 0.0000 0.0000 0.3410
Rh2 Rh 0.0000 0.3308 0.0000
Rh3 Rh 0.0000 0.5000 0.3172
# N(E_F) = 11.9 states/eV/cell
# electronic total energy = -6.759 eV/atom



3.
# PBE-GGA Pm2BRh4, relaxed
data_Pm2BRh4
_chemical_formula_sum 'Pm4 B2 Rh8'
_space_group_name_H-M_alt 'I 4/m m m'
_space_group_IT_number 139
_space_group_name_Hall '-I 4 2'
_cell_length_a 4.2470
_cell_length_b 4.2470
_cell_length_c 14.1051
_cell_angle_alpha 90.00
_cell_angle_beta 90.00
_cell_angle_gamma 90.00
loop_
_atom_site_label
_atom_site_type_symbol
_atom_site_fract_x
_atom_site_fract_y
_atom_site_fract_z
Pm1 Pm 0.0000 0.0000 0.1524
B1 B 0.0000 0.0000 0.5000
Rh1 Rh 0.0000 0.0000 0.3554
Rh2 Rh 0.0000 0.5000 0.0000
# N(E_F) = 11.5 states/eV/cell
# electronic total energy = -7.092 eV/atom



4.
# PBE-GGA PmB2Rh4, relaxed
data_PmB2Rh4
_chemical_formula_sum 'Pm2 B4 Rh8'
_space_group_name_H-M_alt 'P 42/m n m'
_space_group_IT_number 136
_space_group_name_Hall '-P 4n 2n'
_cell_length_a 7.3435
_cell_length_b 7.3435
_cell_length_c 3.5855
_cell_angle_alpha 90.00
_cell_angle_beta 90.00
_cell_angle_gamma 90.00
loop_
_atom_site_label
_atom_site_type_symbol
_atom_site_fract_x
_atom_site_fract_y
_atom_site_fract_z
Pm1 Pm 0.0000 0.0000 0.0000
B1 B 0.2279 0.2279 0.5000
Rh1 Rh 0.0670 0.6773 0.5000
# N(E_F) = 9.9 states/eV/cell
# electronic total energy = -7.190 eV/atom